First-principles (PBE-GGA) data for crystalline La3Nd2SmS6 at its relaxed geometry, as listed in Alexandria via LeMat-Bulk. Values from VASP.

```
&SYSTEM
  ibrav = 0, nat = 12, ntyp = 4
/
ATOMIC_SPECIES
S 32.06 S.upf
La 138.91 La.upf
Sm 150.36 Sm.upf
Nd 144.24 Nd.upf
ATOMIC_POSITIONS crystal
S 0.2489 0.2489 0.7561
La 0.8322 0.1678 0.5000
Sm 0.0000 0.0000 0.0000
S 0.7511 0.7511 0.2439
Nd 0.3334 0.6666 0.0000
Nd 0.6666 0.3334 0.0000
S 0.0807 0.4109 0.2427
La 0.1678 0.8322 0.5000
S 0.4109 0.0807 0.2427
S 0.9193 0.5891 0.7573
S 0.5891 0.9193 0.7573
La 0.5000 0.5000 0.5000
CELL_PARAMETERS angstrom
-4.4753 -0.7451 -5.4750
6.8582 -1.7243 -0.7419
-2.1572 -5.4263 4.0429
```

Results
density of states at the Fermi level: 0.481 states/eV/atom
ΔE_f (raw): -2.10 eV per atom
calculated density: 5.943 g/cm³

=====

First-principles (PBE-GGA) data for crystalline LaNd2SmS4 at its relaxed geometry, as listed in Alexandria via LeMat-Bulk. Values from VASP.

```
&SYSTEM
  ibrav = 0, nat = 8, ntyp = 4
/
ATOMIC_SPECIES
S 32.06 S.upf
Sm 150.36 Sm.upf
Nd 144.24 Nd.upf
La 138.91 La.upf
ATOMIC_POSITIONS crystal
S 0.5000 0.2552 0.2513
S 0.0000 0.7446 0.2476
Sm 0.5000 0.5000 0.0000
Nd 0.0000 0.5000 0.5000
La 0.0000 0.0000 0.0000
S 0.0000 0.2554 0.7524
Nd 0.5000 0.0000 0.5000
S 0.5000 0.7448 0.7487
CELL_PARAMETERS angstrom
-0.4207 -3.1037 -2.5711
5.1609 -3.4934 3.3727
-6.2155 -1.6062 2.9559
```

Results
density of states at the Fermi level: 0.647 states/eV/atom
ΔE_f (raw): -2.06 eV per atom
calculated density: 6.118 g/cm³

=====

First-principles (PBE-GGA) data for crystalline La2NdSm3S6 at its relaxed geometry, as listed in Alexandria via LeMat-Bulk. Values from VASP.

```
&SYSTEM
  ibrav = 0, nat = 12, ntyp = 4
/
ATOMIC_SPECIES
Nd 144.24 Nd.upf
La 138.91 La.upf
S 32.06 S.upf
Sm 150.36 Sm.upf
ATOMIC_POSITIONS crystal
Nd 0.5000 0.0000 0.0000
La 0.1659 0.3320 0.3319
S 0.9973 0.2525 0.9946
Sm 0.8333 0.1663 0.6665
Sm 0.5000 0.5000 0.0000
Sm 0.1667 0.8337 0.3335
La 0.8340 0.6680 0.6681
S 0.6676 0.0765 0.3352
S 0.3355 0.4110 0.6711
S 0.6645 0.5890 0.3289
S 0.0027 0.7475 0.0054
S 0.3324 0.9235 0.6648
CELL_PARAMETERS angstrom
4.0496 0.0000 0.0000
0.0000 8.1761 0.2773
-2.0248 -2.3716 8.5429
```

Results
density of states at the Fermi level: 0.499 states/eV/atom
ΔE_f (raw): -2.07 eV per atom
calculated density: 6.197 g/cm³

=====

First-principles (PBE-GGA) data for crystalline La3NdSn2S at its relaxed geometry, as listed in Alexandria via LeMat-Bulk. Values from VASP.

```
&SYSTEM
  ibrav = 0, nat = 7, ntyp = 4
/
ATOMIC_SPECIES
S 32.06 S.upf
La 138.91 La.upf
Sn 118.71 Sn.upf
Nd 144.24 Nd.upf
ATOMIC_POSITIONS crystal
S 0.0000 0.0000 0.0000
La 0.1719 0.1719 0.3437
La 0.8281 0.8281 0.6563
Sn 0.3666 0.3666 0.7333
La 0.0000 0.5000 0.0000
Sn 0.6334 0.6334 0.2667
Nd 0.5000 0.0000 0.0000
CELL_PARAMETERS angstrom
-3.5047 -3.9427 0.5614
3.5451 -3.4414 -2.0373
2.9372 2.1636 8.4661
```

Results
density of states at the Fermi level: 0.631 states/eV/atom
ΔE_f (raw): -0.94 eV per atom
calculated density: 5.780 g/cm³

=====

First-principles (PBE-GGA) data for crystalline SrLa2NdS4 at its relaxed geometry, as listed in Alexandria via LeMat-Bulk. Values from VASP.

```
&SYSTEM
  ibrav = 0, nat = 8, ntyp = 4
/
ATOMIC_SPECIES
S 32.06 S.upf
La 138.91 La.upf
Sr 87.62 Sr.upf
Nd 144.24 Nd.upf
ATOMIC_POSITIONS crystal
S 0.0000 0.2496 0.2536
S 0.5000 0.7471 0.2536
La 0.0000 0.0000 0.0000
Sr 0.5000 0.5000 0.0000
Nd 0.0000 0.5000 0.5000
S 0.0000 0.7504 0.7464
S 0.5000 0.2529 0.7464
La 0.5000 0.0000 0.5000
CELL_PARAMETERS angstrom
4.1402 0.0000 0.0000
0.0000 7.1940 -0.1539
0.0000 2.5218 6.7661
```

Results
density of states at the Fermi level: 0.480 states/eV/atom
ΔE_f (raw): -2.09 eV per atom
calculated density: 5.215 g/cm³

=====

First-principles (PBE-GGA) data for crystalline SrLaNd2S4 at its relaxed geometry, as listed in Alexandria via LeMat-Bulk. Values from VASP.

```
&SYSTEM
  ibrav = 0, nat = 16, ntyp = 4
/
ATOMIC_SPECIES
La 138.91 La.upf
S 32.06 S.upf
Nd 144.24 Nd.upf
Sr 87.62 Sr.upf
ATOMIC_POSITIONS crystal
La 0.0000 0.0000 0.0000
S 0.7465 0.2432 0.4948
S 0.7480 0.7520 0.0030
Nd 0.5000 0.0000 0.0000
S 0.2535 0.7568 0.5052
Nd 0.5000 0.5000 0.0000
Nd 0.5000 0.0000 0.5000
S 0.7480 0.7520 0.4970
Sr 0.0000 0.5000 0.0000
S 0.2568 0.7535 0.0052
Nd 0.0000 0.0000 0.5000
La 0.5000 0.5000 0.5000
S 0.2520 0.2480 0.9970
S 0.2520 0.2480 0.5030
S 0.7432 0.2465 0.9948
Sr 0.0000 0.5000 0.5000
CELL_PARAMETERS angstrom
8.2672 0.0050 -0.0042
-0.0008 8.2673 -0.0042
-4.0987 -4.1016 5.8514
```

Results
density of states at the Fermi level: 0.565 states/eV/atom
ΔE_f (raw): -2.07 eV per atom
calculated density: 5.346 g/cm³

=====

First-principles (PBE-GGA) data for crystalline La3Tb2NdS6 at its relaxed geometry, as listed in Alexandria via LeMat-Bulk. Values from VASP.

```
&SYSTEM
  ibrav = 0, nat = 12, ntyp = 4
/
ATOMIC_SPECIES
La 138.91 La.upf
S 32.06 S.upf
Tb 158.93 Tb.upf
Nd 144.24 Nd.upf
ATOMIC_POSITIONS crystal
La 0.8361 0.1639 0.5000
S 0.0788 0.4198 0.2368
S 0.4198 0.0788 0.2368
Tb 0.6666 0.3334 0.0000
S 0.5802 0.9212 0.7632
Tb 0.3334 0.6666 0.0000
La 0.1639 0.8361 0.5000
S 0.2631 0.2631 0.7658
S 0.9212 0.5802 0.7632
La 0.5000 0.5000 0.5000
S 0.7369 0.7369 0.2342
Nd 0.0000 0.0000 0.0000
CELL_PARAMETERS angstrom
-6.1788 2.3982 -2.3397
0.5585 -6.6003 2.3510
0.3536 3.4685 6.1459
```

Results
density of states at the Fermi level: 0.485 states/eV/atom
ΔE_f (raw): -2.10 eV per atom
calculated density: 6.246 g/cm³

=====

First-principles (PBE-GGA) data for crystalline LaTb3Nd2S6 at its relaxed geometry, as listed in Alexandria via LeMat-Bulk. Values from VASP.

```
&SYSTEM
  ibrav = 0, nat = 12, ntyp = 4
/
ATOMIC_SPECIES
S 32.06 S.upf
Nd 144.24 Nd.upf
Tb 158.93 Tb.upf
La 138.91 La.upf
ATOMIC_POSITIONS crystal
S 0.5761 0.9113 0.7348
Nd 0.6673 0.3327 0.0000
S 0.0887 0.4239 0.2652
S 0.2473 0.2473 0.7357
Tb 0.8333 0.1667 0.5000
Tb 0.5000 0.5000 0.5000
Nd 0.3327 0.6673 0.0000
S 0.4239 0.0887 0.2652
Tb 0.1667 0.8333 0.5000
La 0.0000 0.0000 0.0000
S 0.7527 0.7527 0.2643
S 0.9113 0.5761 0.7348
CELL_PARAMETERS angstrom
-0.9599 -6.6720 -1.5784
6.2106 2.2178 2.1068
-3.4414 0.2486 6.0964
```

Results
density of states at the Fermi level: 0.468 states/eV/atom
ΔE_f (raw): -2.05 eV per atom
calculated density: 6.645 g/cm³

=====

First-principles (PBE-GGA) data for crystalline La2TbNd3S6 at its relaxed geometry, as listed in Alexandria via LeMat-Bulk. Values from VASP.

```
&SYSTEM
  ibrav = 0, nat = 12, ntyp = 4
/
ATOMIC_SPECIES
S 32.06 S.upf
Tb 158.93 Tb.upf
Nd 144.24 Nd.upf
La 138.91 La.upf
ATOMIC_POSITIONS crystal
S 0.2395 0.2395 0.7489
Tb 0.0000 0.0000 0.0000
Nd 0.1698 0.8302 0.5000
La 0.6661 0.3339 0.0000
Nd 0.8302 0.1698 0.5000
Nd 0.5000 0.5000 0.5000
La 0.3339 0.6661 0.0000
S 0.5940 0.9180 0.7528
S 0.9180 0.5940 0.7528
S 0.4060 0.0820 0.2472
S 0.0820 0.4060 0.2472
S 0.7605 0.7605 0.2511
CELL_PARAMETERS angstrom
7.0702 -0.0072 -0.0028
-3.5396 6.1203 -0.0028
-1.1806 -2.0442 6.6381
```

Results
density of states at the Fermi level: 0.450 states/eV/atom
ΔE_f (raw): -2.07 eV per atom
calculated density: 6.144 g/cm³

=====

First-principles (PBE-GGA) data for crystalline LaTbNdS3 at its relaxed geometry, as listed in Alexandria via LeMat-Bulk. Values from VASP.

```
&SYSTEM
  ibrav = 0, nat = 12, ntyp = 4
/
ATOMIC_SPECIES
S 32.06 S.upf
Tb 158.93 Tb.upf
La 138.91 La.upf
Nd 144.24 Nd.upf
ATOMIC_POSITIONS crystal
S 0.2500 0.4539 0.8451
Tb 0.7500 0.2324 0.9448
La 0.2500 0.3490 0.3037
La 0.7500 0.6510 0.6963
Nd 0.2500 0.1260 0.6328
S 0.7500 0.2815 0.4940
S 0.2500 0.7185 0.5060
Tb 0.2500 0.7676 0.0552
Nd 0.7500 0.8740 0.3672
S 0.7500 0.5461 0.1549
S 0.7500 0.0519 0.1517
S 0.2500 0.9481 0.8483
CELL_PARAMETERS angstrom
-1.6091 1.9231 3.0628
-5.5058 -4.2989 -0.1934
6.5937 -5.0184 6.6151
```

Results
density of states at the Fermi level: 0.568 states/eV/atom
ΔE_f (raw): -1.98 eV per atom
calculated density: 6.243 g/cm³

=====

First-principles (PBE-GGA) data for crystalline La3TbNd2S6 at its relaxed geometry, as listed in Alexandria via LeMat-Bulk. Values from VASP.

```
&SYSTEM
  ibrav = 0, nat = 12, ntyp = 4
/
ATOMIC_SPECIES
La 138.91 La.upf
S 32.06 S.upf
Nd 144.24 Nd.upf
Tb 158.93 Tb.upf
ATOMIC_POSITIONS crystal
La 0.5000 0.5000 0.5000
S 0.7551 0.7551 0.2422
La 0.8306 0.1694 0.5000
S 0.0796 0.4053 0.2394
S 0.5947 0.9204 0.7606
S 0.4053 0.0796 0.2394
Nd 0.3333 0.6667 0.0000
S 0.9204 0.5947 0.7606
Tb 0.0000 0.0000 0.0000
Nd 0.6667 0.3333 0.0000
S 0.2449 0.2449 0.7578
La 0.1694 0.8306 0.5000
CELL_PARAMETERS angstrom
7.0828 -0.0067 -0.0021
-3.5455 6.1315 -0.0021
-1.1822 -2.0469 6.6799
```

Results
density of states at the Fermi level: 0.478 states/eV/atom
ΔE_f (raw): -2.10 eV per atom
calculated density: 6.052 g/cm³

=====

First-principles (PBE-GGA) data for crystalline La2TbNdS4 at its relaxed geometry, as listed in Alexandria via LeMat-Bulk. Values from VASP.

```
&SYSTEM
  ibrav = 0, nat = 8, ntyp = 4
/
ATOMIC_SPECIES
Nd 144.24 Nd.upf
S 32.06 S.upf
Tb 158.93 Tb.upf
La 138.91 La.upf
ATOMIC_POSITIONS crystal
Nd 0.5000 0.5000 0.0000
S 0.5000 0.7613 0.7645
S 0.0000 0.7531 0.2402
Tb 0.0000 0.0000 0.0000
La 0.0000 0.5000 0.5000
La 0.5000 0.0000 0.5000
S 0.0000 0.2469 0.7598
S 0.5000 0.2387 0.2355
CELL_PARAMETERS angstrom
4.0478 0.0000 0.0000
0.0000 7.0702 0.1352
0.0000 -2.4573 6.6534
```

Results
density of states at the Fermi level: 0.634 states/eV/atom
ΔE_f (raw): -2.09 eV per atom
calculated density: 6.142 g/cm³